Record 1
DFT (PBE) results for GdTaPd after structural relaxation.

The structure in POSCAR format:
```
GdTaPd
1.0
-0.881 -3.162 3.281
-3.918 -2.482 -0.161
0.158 -4.522 -1.033
Pd Ta Gd
1 1 1
direct
0.000 0.000 0.000 Pd
0.750 0.750 0.750 Ta
0.250 0.250 0.250 Gd
```

As for the calculated formation energy: 0.90 eV per formula unit.


Record 2
DFT (PBE) results for LiGa2Cu4Ni after structural relaxation.

The structure in POSCAR format:
```
LiGa2Cu4Ni
1.0
4.104 0.000 0.000
0.000 4.104 0.000
0.000 0.000 5.827
Cu Ga Li Ni
4 2 1 1
direct
0.500 0.000 0.749 Cu
0.500 0.000 0.251 Cu
0.000 0.500 0.251 Cu
0.000 0.500 0.749 Cu
0.000 0.000 0.000 Ga
0.500 0.500 0.500 Ga
0.000 0.000 0.500 Li
0.500 0.500 0.000 Ni
```


no.,E_tot (eV per atom),calculated volume (A^3/atom)
1,-6.929,23.57
2,-3.705,12.27